1.
Compound: SrMgTlHg2
Source: Alexandria
Functional: GGA-PBE
Structure: optimized geometry

Structure (POSCAR):
```
SrMgTlHg2
1.0
-2.780 5.108 -2.571
-4.586 -3.641 -2.276
-3.715 0.967 5.938
Hg Sr Mg Tl
4 2 2 2
direct
0.218 0.750 0.711
0.782 0.250 0.289
0.782 0.250 0.711
0.218 0.750 0.289
0.263 0.250 0.500
0.737 0.750 0.500
0.000 0.500 0.000
0.000 0.000 0.000
0.421 0.250 0.000
0.579 0.750 0.000
```

calculated volume: 282.4 Å³ per cell
E_tot: -1.560 eV/atom
ΔH_f (0 K): -0.3111 eV per atom
space group: Pmma (51)
magnetic moment: 0.00 μB per formula unit

2.
Compound: YNi2Br
Source: Alexandria
Functional: GGA-PBE
Structure: optimized geometry

Structure (POSCAR):
```
YNi2Br
1.0
-6.838 -2.568 -0.736
1.593 -2.296 -6.789
-1.821 -4.855 -2.755
Ni Br Y
4 2 2
direct
0.375 0.412 0.750
0.875 0.838 0.750
0.162 0.625 0.250
0.588 0.125 0.250
0.250 0.750 0.500
0.500 0.500 0.000
0.750 0.250 0.500
0.000 0.000 0.000
```

calculated volume: 147.9 Å³ per cell
E_tot: -4.917 eV/atom
space group: I-42d (122)
E_form (uncorrected): 0.01 eV per atom
magnetic moment: 0.00 μB per formula unit

3.
Compound: CaLuRh2
Source: Alexandria
Functional: GGA-PBE
Structure: optimized geometry

Structure (POSCAR):
```
CaLuRh2
1.0
-2.905 0.980 1.394
0.652 -1.905 2.699
3.216 5.309 2.969
Ca Rh Lu
1 2 1
direct
0.500 0.500 0.500
0.000 0.000 0.228
0.000 0.000 0.772
0.500 0.500 0.000
```

calculated volume: 78.0 Å³ per cell
E_tot: -6.030 eV/atom
ΔH_f (0 K): -0.7236 eV per atom
space group: P4/mmm (123)
magnetic moment: 0.00 μB per formula unit